Here is an optimized crystal structure of Er3TmSb from Alexandria via LeMat-Bulk. Energies are from GGA-PBE.

As for the space-group type: Pnma. Its crystal system is orthorhombic. The uncorrected formation energy comes out at -346 meV per atom. For the total magnetization, the calculation gives 0.00 μB/f.u.

Cell: 10.503 3.906 14.394 Å, 90.00 90.00 90.00°
Atoms (fractional coordinates):
Er 0.088 0.250 0.074
Er 0.116 0.750 0.265
Er 0.131 0.750 0.681
Er 0.369 0.250 0.181
Er 0.384 0.250 0.765
Er 0.412 0.750 0.574
Er 0.588 0.250 0.426
Er 0.616 0.750 0.235
Er 0.631 0.750 0.819
Er 0.869 0.250 0.319
Er 0.884 0.250 0.735
Er 0.912 0.750 0.926
Tm 0.161 0.250 0.470
Tm 0.339 0.750 0.970
Tm 0.661 0.250 0.030
Tm 0.839 0.750 0.530
Sb 0.129 0.250 0.862
Sb 0.371 0.750 0.362
Sb 0.629 0.250 0.638
Sb 0.871 0.750 0.138


Here is an optimized crystal structure of ScSbCl3 from Alexandria via LeMat-Bulk. Energies are from GGA-PBE.

As for the space-group type: Pm-3m. Its crystal system is cubic. The uncorrected formation energy comes out at -78 meV per atom. The energy above the most stable polymorph in this dataset comes out at 877.3 meV/atom. For the total magnetization, the calculation gives 1.90 μB/f.u.

Cell: 5.454 5.454 5.454 Å, 90.00 90.00 90.00°
Atoms (fractional coordinates):
Sc 0.000 0.000 0.000
Sb 0.500 0.500 0.500
Cl 0.000 0.500 0.500
Cl 0.500 0.000 0.500
Cl 0.500 0.500 0.000


Here is an optimized crystal structure of Sc5Al4Hg from Alexandria via LeMat-Bulk. Energies are from GGA-PBE.

As for the space-group type: P4/mmm. Its crystal system is tetragonal. For the total magnetization, the calculation gives 0.00 μB/f.u. For the energy of formation from the pure elements, the calculation gives -441 meV/atom.

Cell: 3.355 3.355 17.587 Å, 90.00 90.00 90.00°
Atoms (fractional coordinates):
Sc 0.000 0.000 0.000
Sc 0.000 0.000 0.193
Sc 0.000 0.000 0.390
Sc 0.000 0.000 0.610
Sc 0.000 0.000 0.807
Al 0.500 0.500 0.096
Al 0.500 0.500 0.292
Al 0.500 0.500 0.708
Al 0.500 0.500 0.904
Hg 0.500 0.500 0.500